Entry from Alexandria via LeMat-Bulk: a geometry-optimized VB2Ir structure (PBE).

Values from the calculation:
**Raw total energy**: -31.88 eV per formula unit
**Formation energy from the elements**: -138 meV/atom
**N(E_F)**: 2.292 states/eV/cell
**E above lowest polymorph**: 0.00 eV/f.u.

Unit cell a=3.3094 b=3.3094 c=4.7999 alpha=69.83 beta=69.83 gamma=60.00
Fractional coordinates of all 4 atoms:
B (0.2554, 0.2554, 0.2338)
B (0.7446, 0.7446, 0.7662)
V (0.5000, 0.5000, 0.5000)
Ir (0.0000, 0.0000, 0.0000)